# CrReIr3

An optimized crystal structure of CrReIr3 (PBE-GGA, Alexandria via LeMat-Bulk).

```
CrReIr3
1.0
4.712 0.000 0.000
0.000 4.712 0.000
0.000 0.000 4.712
Ir Cr Re
3 1 1
direct
0.500 0.000 0.000
0.000 0.500 0.000
0.000 0.000 0.500
0.500 0.500 0.500
0.000 0.000 0.000
```

ΔH_f (0 K): 1003.4 kJ/mol of formula units
Density of states at the Fermi level: 2.160 states/eV/atom
Relative energy among the computed polymorphs: 11.156 eV per formula unit
Total DFT energy (no corrections): -7.65 eV/atom